Entry 1:
A relaxed structure of Li4PmPd4. Source: Alexandria via LeMat-Bulk, functional PBE.

Output
N(E_F) (states/eV/cell): 3.2
Uncorrected energy (eV/atom): -4.114
Mass density (g/cm³): 6.9

Unit cell a=6.1603 b=6.1603 c=6.1603 alpha=97.19 beta=97.19 gamma=138.56
With the nearest neighbours (Å) after each atom.
Positions (direct):
1 Li 0.0662 0.6340 0.7002  1 Li 2.44, 3 Pd 2.53-2.55
2 Li 0.3660 0.0662 0.4322  1 Li 2.44, 3 Pd 2.53-2.55
3 Li 0.6340 0.9338 0.5678  1 Li 2.44, 3 Pd 2.53-2.55
4 Li 0.9338 0.3660 0.2998  1 Li 2.44, 3 Pd 2.53-2.55
5 Pm 0.0000 0.0000 0.0000  4 Li 3.03, 8 Pd 3.03
6 Pd 0.2798 0.3647 0.6444  5 Li 2.53-2.82
7 Pd 0.3647 0.7202 0.0849  5 Li 2.53-2.82
8 Pd 0.6353 0.2798 0.9151  5 Li 2.53-2.82
9 Pd 0.7202 0.6353 0.3556  5 Li 2.53-2.82

Entry 2:
A relaxed structure of Li7PmPd4. Source: Alexandria via LeMat-Bulk, functional PBE.

Output
N(E_F) (states/eV/cell): 4.7
Uncorrected energy (eV/atom): -3.474
Mass density (g/cm³): 5.0

Unit cell a=5.6100 b=5.6100 c=9.2078 alpha=113.95 beta=113.95 gamma=52.56
With the nearest neighbours (Å) after each atom.
Positions (direct):
1 Li 0.0000 0.0000 0.0000  4 Pd 2.35-2.55, 2 Pm 2.48
2 Li 0.1412 0.1412 0.6203  3 Pd 2.55-2.83, 4 Li 2.61-2.81
3 Li 0.3160 0.3160 0.2232  4 Pd 2.52-2.79, 3 Li 2.80-2.81
4 Li 0.3767 0.3767 0.5696  2 Li 2.61-2.80, 3 Pd 2.69-2.70
5 Li 0.6233 0.6233 0.4304  2 Li 2.61-2.80, 3 Pd 2.69-2.70
6 Li 0.6840 0.6840 0.7768  4 Pd 2.52-2.79, 3 Li 2.80-2.81
7 Li 0.8588 0.8588 0.3797  3 Pd 2.55-2.83, 4 Li 2.61-2.81
8 Pm 0.5000 0.5000 0.0000  2 Li 2.48
9 Pd 0.1051 0.1051 0.3095  7 Li 2.55-2.83, 1 Pd 2.74
10 Pd 0.1894 0.1894 0.9167  3 Li 2.35-2.55
11 Pd 0.8106 0.8106 0.0833  3 Li 2.35-2.55
12 Pd 0.8949 0.8949 0.6905  7 Li 2.55-2.83, 1 Pd 2.74

Entry 3:
A relaxed structure of Li3PmPd3. Source: Alexandria via LeMat-Bulk, functional PBE.

Output
N(E_F) (states/eV/cell): 5.2
Uncorrected energy (eV/atom): -4.208
Mass density (g/cm³): 6.3
Distance to the lowest polymorph of the same formula (eV per atom): 0.000

Unit cell a=8.0125 b=8.0125 c=4.5912 alpha=90.00 beta=90.00 gamma=120.00
With the nearest neighbours (Å) after each atom.
Positions (direct):
1 Li 0.0018 0.2396 0.2500  4 Pd 2.64-2.82
2 Li 0.2379 0.9982 0.2500  4 Pd 2.64-2.82
3 Li 0.2396 0.2379 0.7500  4 Pd 2.64-2.82
4 Li 0.7604 0.7621 0.2500  4 Pd 2.64-2.82
5 Li 0.7621 0.0018 0.7500  4 Pd 2.64-2.82
6 Li 0.9982 0.7604 0.7500  4 Pd 2.64-2.82
7 Pm 0.3333 0.6667 0.2500  9 Pd 2.95-2.96, 3 Li 3.11
8 Pm 0.6667 0.3333 0.7500  9 Pd 2.95-2.96, 3 Li 3.11
9 Pd 0.0813 0.4579 0.7500  4 Li 2.64-2.82, 2 Pd 2.88, 1 Pm 2.95
10 Pd 0.3766 0.9187 0.7500  4 Li 2.64-2.82, 2 Pd 2.88, 1 Pm 2.95
11 Pd 0.4579 0.3766 0.2500  4 Li 2.64-2.82, 2 Pd 2.88, 1 Pm 2.95
12 Pd 0.5421 0.6234 0.7500  4 Li 2.64-2.82, 2 Pd 2.88, 1 Pm 2.95
13 Pd 0.6234 0.0813 0.2500  4 Li 2.64-2.82, 2 Pd 2.88, 1 Pm 2.95
14 Pd 0.9187 0.5421 0.2500  4 Li 2.64-2.82, 2 Pd 2.88, 1 Pm 2.95

Which formula does entry 3 have? Li3PmPd3

Number 3 is which compound? Li3PmPd3